Record 1
## BaNiSe2 (PBE)

Data for BaNiSe2 after structural relaxation.

It has space group P4mm (No. 99), with a = 3.9188 Å, b = 3.9188 Å, c = 7.2213 Å, α = 90.00°, β = 90.00° and γ = 90.00°. Symmetry generates all atoms from Ba at (0.0000, 0.0000, 0.0000), Ni at (0.5000, 0.5000, 0.4870), Se at (0.0000, 0.0000, 0.4487) and Se at (0.5000, 0.5000, 0.8099).

The value obtained for the uncorrected formation energy is -568 meV/atom. The value obtained for the spin magnetization is 1.2 μB/f.u.



Record 2
## TbCe2Ho6Er3 (PBE)

Data for TbCe2Ho6Er3 after structural relaxation.

It has space group C2/m (No. 12), with a = 6.0966 Å, b = 10.5564 Å, c = 11.6630 Å, α = 90.00°, β = 100.04° and γ = 90.00°. Symmetry generates all atoms from Tb at (0.0000, 0.0000, 0.0000), Ce at (0.0000, 0.3334, 0.0000), Ho at (0.2483, 0.3322, 0.7497), Ho at (0.2482, 0.5000, 0.2503), Er at (0.0000, 0.1662, 0.5000) and Er at (0.0000, 0.5000, 0.5000).

The calculation puts the formation energy at 0.0481 eV per atom. The value obtained for the spin magnetization is 1.8 μB/f.u.



Record 3
## HoEr2TmTl4 (PBE)

Data for HoEr2TmTl4 after structural relaxation.

It has space group R-3m (No. 166, hexagonal axes), with a = 5.3279 Å, b = 5.3279 Å, c = 26.1803 Å, α = 90.00°, β = 90.00° and γ = 120.00°. Symmetry generates all atoms from Ho at (0.0000, 0.0000, 0.0000), Er at (0.0000, 0.0000, 0.2497), Tm at (0.0000, 0.0000, 0.5000), Tl at (0.0000, 0.0000, 0.1253) and Tl at (0.0000, 0.0000, 0.3753).

The calculation puts the formation energy at -0.3100 eV per atom. The value obtained for the spin magnetization is 0.0 μB/f.u.



Record 4
## Nd3Sm12Er (PBE)

Data for Nd3Sm12Er after structural relaxation.

It has space group P4/mmm (No. 123), with a = 5.1319 Å, b = 5.1319 Å, c = 20.5200 Å, α = 90.00°, β = 90.00° and γ = 90.00°. Symmetry generates all atoms from Nd at (0.0000, 0.0000, 0.0000), Nd at (0.0000, 0.0000, 0.2512), Sm at (0.0000, 0.5000, 0.1256), Sm at (0.0000, 0.5000, 0.3769), Sm at (0.5000, 0.5000, 0.0000), Sm at (0.5000, 0.5000, 0.2516), Sm at (0.5000, 0.5000, 0.5000) and Er at (0.0000, 0.0000, 0.5000).

The calculation puts the formation energy at 0.0151 eV per atom. The value obtained for the spin magnetization is 0.0 μB/f.u.



Record 5
## Dy6Tm2Zn (PBE)

Data for Dy6Tm2Zn after structural relaxation.

It has space group Pnnm (No. 58), with a = 9.9723 Å, b = 10.0067 Å, c = 5.3028 Å, α = 90.00°, β = 90.00° and γ = 90.00°. Symmetry generates all atoms from Dy at (0.0395, 0.1855, 0.0000), Dy at (0.1234, 0.6206, 0.5000), Dy at (0.1854, 0.9554, 0.5000), Tm at (0.2129, 0.2821, 0.5000) and Zn at (0.0000, 0.5000, 0.0000).

The calculation puts the formation energy at 0.0175 eV per atom. The value obtained for the spin magnetization is 0.0 μB/f.u.



Record 6
## LiAlZnAg3 (PBE)

Data for LiAlZnAg3 after structural relaxation.

It has space group P2_1/m (No. 11), with a = 6.3417 Å, b = 4.0944 Å, c = 7.9550 Å, α = 90.00°, β = 108.87° and γ = 90.00°. Symmetry generates all atoms from Li at (0.0020, 0.2500, 0.3658), Al at (0.3548, 0.2500, 0.2156), Zn at (0.0010, 0.2500, 0.8813), Ag at (0.3069, 0.2500, 0.7008), Ag at (0.3205, 0.7500, 0.4435) and Ag at (0.3235, 0.7500, 0.9632).

The calculation puts the formation energy at -0.1254 eV per atom. The value obtained for the spin magnetization is 0.0 μB/f.u.



Record 7
## Nd2ScO (PBE)

Data for Nd2ScO after structural relaxation.

It has space group P4/mmm (No. 123), with a = 3.2056 Å, b = 3.2056 Å, c = 8.8544 Å, α = 90.00°, β = 90.00° and γ = 90.00°. Symmetry generates all atoms from Nd at (0.0000, 0.0000, 0.1768), Sc at (0.5000, 0.5000, 0.5000) and O at (0.5000, 0.5000, 0.0000).

The value obtained for the uncorrected formation energy is -828 meV/atom. The value obtained for the spin magnetization is 0.0 μB/f.u.



Record 8
## CsNp2AuS4 (PBE)

Data for CsNp2AuS4 after structural relaxation.

It has space group Cmcm (No. 63), with a = 4.1368 Å, b = 14.0413 Å, c = 14.1556 Å, α = 90.00°, β = 90.00° and γ = 90.00°. Symmetry generates all atoms from Cs at (0.0000, 0.1137, 0.2500), Np at (0.0000, 0.3697, 0.0612), Au at (0.0000, 0.1625, 0.7500), S at (0.0000, 0.0000, 0.0000), S at (0.0000, 0.2558, 0.5973) and S at (0.0000, 0.4328, 0.2500).

The value obtained for the uncorrected formation energy is -1092 meV/atom. The value obtained for the spin magnetization is 8.0 μB/f.u.



What is the spin magnetization in the fourth record?
0.0 μB/f.u.



Look up the spin magnetization of the first one.
1.2 μB/f.u.



Among the records above, which one has the highest spin magnetization?
CsNp2AuS4